No. 1
Density functional theory data (PBE) for Rb4U3PbSe8 after structural relaxation.

Cell: 9.4122 9.4122 9.4122 Å, 55.17 55.17 55.17°
Atoms (fractional coordinates):
1 Rb 0.0000 0.0000 0.0000
2 Rb 0.0000 0.5000 0.5000
3 Rb 0.5000 0.0000 0.5000
4 Rb 0.5000 0.5000 0.0000
5 U 0.0000 0.0000 0.5000
6 U 0.0000 0.5000 0.0000
7 U 0.5000 0.0000 0.0000
8 Pb 0.5000 0.5000 0.5000
9 Se 0.2155 0.7413 0.7413
10 Se 0.2316 0.2316 0.2316
11 Se 0.2587 0.2587 0.7845
12 Se 0.2587 0.7845 0.2587
13 Se 0.7413 0.2155 0.7413
14 Se 0.7413 0.7413 0.2155
15 Se 0.7684 0.7684 0.7684
16 Se 0.7845 0.2587 0.2587

Output
The space-group type is R-3m (166). The calculation puts the calculated volume at 523.36 Å³ per cell. Its density is 6.01 g cm⁻³. For the total moment, the calculation gives 8.0 μB per cell. Its uncorrected formation energy is -1.160 eV/atom. The value obtained for the density of states at the Fermi level is 0.73 states/eV per atom.


No. 2
Density functional theory data (PBE) for Ac2PmTl3 after structural relaxation.

Cell: 4.0310 4.0310 12.2535 Å, 90.00 90.00 90.00°
Atoms (fractional coordinates):
1 Ac 0.0000 0.0000 0.1745
2 Ac 0.0000 0.0000 0.8255
3 Pm 0.0000 0.0000 0.5000
4 Tl 0.5000 0.5000 0.0000
5 Tl 0.5000 0.5000 0.3528
6 Tl 0.5000 0.5000 0.6472

Output
The space-group type is P4/mmm (123). The calculation puts the calculated volume at 199.11 Å³ per cell. Its density is 10.11 g cm⁻³. For the total moment, the calculation gives 0.0 μB per cell. The value obtained for the calculated formation energy is -0.359 eV per atom. The value obtained for the density of states at the Fermi level is 0.93 states/eV per atom.


No. 3
Density functional theory data (PBE) for Tb2MgTl4 after structural relaxation.

Cell: 7.6889 7.6809 5.6250 Å, 68.61 68.46 42.94°
Atoms (fractional coordinates):
1 Tb 0.1370 0.1370 0.8630
2 Tb 0.8630 0.8630 0.1370
3 Mg 0.5000 0.5000 0.5000
4 Tl 0.0000 0.0000 0.5000
5 Tl 0.2500 0.2500 0.2500
6 Tl 0.5000 0.5000 0.0000
7 Tl 0.7500 0.7500 0.7500

Output
The space-group type is Fmmm (69). The calculation puts the calculated volume at 208.05 Å³ per cell. Its density is 9.26 g cm⁻³. For the total moment, the calculation gives 0.0 μB per cell. The value obtained for the calculated formation energy is -0.030 eV per atom. The value obtained for the density of states at the Fermi level is 0.58 states/eV per atom.


No. 4
Density functional theory data (PBE) for GaAsAuC after structural relaxation.

Cell: 3.5203 3.0549 7.1634 Å, 90.00 104.29 90.00°
Atoms (fractional coordinates):
1 Ga 0.0000 0.0000 0.0000
2 As 0.2179 0.5000 0.4352
3 Au 0.4066 0.5000 0.8148
4 C 0.1412 0.0000 0.2818

Output
The space-group type is Pm (6). The calculation puts the calculated volume at 74.65 Å³ per cell. Its density is 7.87 g cm⁻³. For the total moment, the calculation gives 0.0 μB per cell. The value obtained for the calculated formation energy is 0.422 eV per atom. The value obtained for the density of states at the Fermi level is 0.14 states/eV per atom.


No. 5
Density functional theory data (PBE) for YMo2PdAu after structural relaxation.

Cell: 4.7710 4.7710 5.0475 Å, 90.00 90.00 90.00°
Atoms (fractional coordinates):
1 Y 0.0000 0.0000 0.0000
2 Mo 0.0000 0.5000 0.5000
3 Mo 0.5000 0.0000 0.5000
4 Pd 0.5000 0.5000 0.5000
5 Au 0.5000 0.5000 0.0000

Output
The space-group type is P4/mmm (123). The calculation puts the calculated volume at 114.89 Å³ per cell. Its density is 8.44 g cm⁻³. For the total moment, the calculation gives 1.3 μB per cell. The value obtained for the calculated formation energy is 1.074 eV per atom. The value obtained for the density of states at the Fermi level is 1.00 states/eV per atom.


No. 6
Density functional theory data (PBE) for GePdPtCl2 after structural relaxation.

Cell: 4.6339 4.6339 5.2992 Å, 90.00 90.00 90.00°
Atoms (fractional coordinates):
1 Ge 0.0000 0.0000 0.0000
2 Pd 0.0000 0.0000 0.5000
3 Pt 0.5000 0.5000 0.0000
4 Cl 0.0000 0.5000 0.5000
5 Cl 0.5000 0.0000 0.5000

Output
The space-group type is P4/mmm (123). The calculation puts the calculated volume at 113.79 Å³ per cell. Its density is 6.49 g cm⁻³. For the total moment, the calculation gives 0.9 μB per cell. Its uncorrected formation energy is 0.532 eV/atom. The value obtained for the density of states at the Fermi level is 0.31 states/eV per atom.